1.
# GGA-PBE CrNi2Mo, relaxed
data_CrNi2Mo
_chemical_formula_sum 'Cr3 Ni6 Mo3'
_cell_length_a 2.5946
_cell_length_b 2.5946
_cell_length_c 25.7114
_cell_angle_alpha 90.00
_cell_angle_beta 90.00
_cell_angle_gamma 120.00
_space_group_name_H-M_alt 'R -3 m'
_space_group_IT_number 166
_space_group_name_Hall '-R 3 2"'
loop_
_atom_site_label
_atom_site_type_symbol
_atom_site_fract_x
_atom_site_fract_y
_atom_site_fract_z
Cr1 Cr 0.0000 0.0000 0.0000
Ni1 Ni 0.0000 0.0000 0.2538
Mo1 Mo 0.0000 0.0000 0.5000
# Calculated volume (Å³ per cell): 149.9
# Energy relative to the elements (eV per atom): 0.2170
# M_tot (μB/cell): 0.01
# Density of states at the Fermi level (states/eV/cell): 18.51
# Calculated density (g/cm3): 8.817
# Distance to the lowest polymorph of the same formula (meV/atom): 203

---

2.
# GGA-PBE Cr2Ni2Mo, relaxed
data_Cr2Ni2Mo
_chemical_formula_sum 'Cr4 Ni4 Mo2'
_cell_length_a 6.995
_cell_length_b 6.995
_cell_length_c 2.512
_cell_angle_alpha 90.00
_cell_angle_beta 90.00
_cell_angle_gamma 90.00
_space_group_name_H-M_alt 'P 4/m b m'
_space_group_IT_number 127
_space_group_name_Hall '-P 4 2ab'
loop_
_atom_site_label
_atom_site_type_symbol
_atom_site_fract_x
_atom_site_fract_y
_atom_site_fract_z
Cr1 Cr 0.174 0.326 0.000
Ni1 Ni 0.121 0.621 0.500
Mo1 Mo 0.000 0.000 0.500
# Calculated volume (Å³ per cell): 122.9
# Energy relative to the elements (eV per atom): 0.1755
# M_tot (μB/cell): 0.00
# Density of states at the Fermi level (states/eV/cell): 12.27
# Calculated density (g/cm3): 8.574
# Distance to the lowest polymorph of the same formula (meV/atom): 0

---

3.
# GGA-PBE CrNi5Mo, relaxed
data_CrNi5Mo
_chemical_formula_sum 'Cr2 Ni10 Mo2'
_cell_length_a 4.495
_cell_length_b 4.497
_cell_length_c 11.360
_cell_angle_alpha 90.00
_cell_angle_beta 90.00
_cell_angle_gamma 90.00
_space_group_name_H-M_alt 'I m m 2'
_space_group_IT_number 44
loop_
_space_group_symop_operation_xyz
'x,y,z'
'-x,-y,z'
'-x,y,z'
'x,-y,z'
'x+1/2,y+1/2,z+1/2'
'-x+1/2,-y+1/2,z+1/2'
'-x+1/2,y+1/2,z+1/2'
'x+1/2,-y+1/2,z+1/2'
loop_
_atom_site_label
_atom_site_type_symbol
_atom_site_fract_x
_atom_site_fract_y
_atom_site_fract_z
Cr1 Cr 0.000 0.000 0.000
Ni1 Ni 0.000 0.252 0.591
Ni2 Ni 0.000 0.500 0.763
Ni3 Ni 0.250 0.000 0.435
Mo1 Mo 0.000 0.500 0.132
# Calculated volume (Å³ per cell): 229.7
# Energy relative to the elements (eV per atom): 0.8236
# M_tot (μB/cell): 7.45
# Density of states at the Fermi level (states/eV/cell): 21.16
# Calculated density (g/cm3): 6.383

---

4.
# GGA-PBE CrNi9Mo2, relaxed
data_CrNi9Mo2
_chemical_formula_sum 'Cr3 Ni27 Mo6'
_cell_length_a 4.6706
_cell_length_b 4.6706
_cell_length_c 23.3937
_cell_angle_alpha 90.00
_cell_angle_beta 90.00
_cell_angle_gamma 120.00
_space_group_name_H-M_alt 'R -3 m'
_space_group_IT_number 166
_space_group_name_Hall '-R 3 2"'
loop_
_atom_site_label
_atom_site_type_symbol
_atom_site_fract_x
_atom_site_fract_y
_atom_site_fract_z
Cr1 Cr 0.0000 0.0000 0.0000
Ni1 Ni 0.0000 0.0000 0.3333
Ni2 Ni 0.0000 0.0000 0.5000
Ni3 Ni 0.0035 0.5018 0.9148
Mo1 Mo 0.0000 0.0000 0.1455
# Calculated volume (Å³ per cell): 441.9
# Energy relative to the elements (eV per atom): 0.1261
# M_tot (μB/cell): 8.87
# Density of states at the Fermi level (states/eV/cell): 66.94
# Calculated density (g/cm3): 8.703

---

5.
# GGA-PBE CrNiMo2, relaxed
data_CrNiMo2
_chemical_formula_sum 'Cr1 Ni1 Mo2'
_cell_length_a 2.589
_cell_length_b 4.100
_cell_length_c 5.330
_cell_angle_alpha 90.00
_cell_angle_beta 103.66
_cell_angle_gamma 90.00
_space_group_name_H-M_alt 'P 1 2/m 1'
_space_group_IT_number 10
loop_
_space_group_symop_operation_xyz
'x,y,z'
'-x,-y,-z'
'-x,y,-z'
'x,-y,z'
loop_
_atom_site_label
_atom_site_type_symbol
_atom_site_fract_x
_atom_site_fract_y
_atom_site_fract_z
Cr1 Cr 0.000 0.000 0.000
Ni1 Ni 0.500 0.000 0.500
Mo1 Mo 0.220 0.500 0.754
# Calculated volume (Å³ per cell): 55.0
# Energy relative to the elements (eV per atom): 0.1602
# M_tot (μB/cell): 0.00
# Density of states at the Fermi level (states/eV/cell): 4.87
# Calculated density (g/cm3): 9.139
# Distance to the lowest polymorph of the same formula (meV/atom): 68

---

6.
# GGA-PBE CrNiMo3, relaxed
data_CrNiMo3
_chemical_formula_sum 'Cr1 Ni1 Mo3'
_cell_length_a 4.426
_cell_length_b 4.426
_cell_length_c 4.426
_cell_angle_alpha 90.00
_cell_angle_beta 90.00
_cell_angle_gamma 90.00
_space_group_name_H-M_alt 'P m -3 m'
_space_group_IT_number 221
_space_group_name_Hall '-P 4 2 3'
loop_
_atom_site_label
_atom_site_type_symbol
_atom_site_fract_x
_atom_site_fract_y
_atom_site_fract_z
Cr1 Cr 0.000 0.000 0.000
Ni1 Ni 0.500 0.500 0.500
Mo1 Mo 0.000 0.500 0.500
# Calculated volume (Å³ per cell): 86.7
# Energy relative to the elements (eV per atom): 1.6363
# M_tot (μB/cell): 0.00
# Density of states at the Fermi level (states/eV/cell): 12.29
# Calculated density (g/cm3): 7.631
# Distance to the lowest polymorph of the same formula (meV/atom): 298

---

7.
# GGA-PBE CrNi2Mo, relaxed
data_CrNi2Mo
_chemical_formula_sum 'Cr3 Ni6 Mo3'
_cell_length_a 2.6075
_cell_length_b 2.6075
_cell_length_c 25.6012
_cell_angle_alpha 90.00
_cell_angle_beta 90.00
_cell_angle_gamma 120.00
_space_group_name_H-M_alt 'R 3 m'
_space_group_IT_number 160
_space_group_name_Hall 'R 3 -2"'
loop_
_atom_site_label
_atom_site_type_symbol
_atom_site_fract_x
_atom_site_fract_y
_atom_site_fract_z
Cr1 Cr 0.0000 0.0000 0.0000
Ni1 Ni 0.0000 0.0000 0.4898
Ni2 Ni 0.0000 0.0000 0.7436
Mo1 Mo 0.0000 0.0000 0.2417
# Calculated volume (Å³ per cell): 150.7
# Energy relative to the elements (eV per atom): 0.2123
# M_tot (μB/cell): 0.00
# Density of states at the Fermi level (states/eV/cell): 15.25
# Calculated density (g/cm3): 8.768
# Distance to the lowest polymorph of the same formula (meV/atom): 198

---

8.
# GGA-PBE CrNiMo2, relaxed
data_CrNiMo2
_chemical_formula_sum 'Cr4 Ni4 Mo8'
_cell_length_a 6.698
_cell_length_b 6.698
_cell_length_c 5.202
_cell_angle_alpha 90.00
_cell_angle_beta 90.00
_cell_angle_gamma 90.00
_space_group_name_H-M_alt 'I -4 2 d'
_space_group_IT_number 122
_space_group_name_Hall 'I -4 2bw'
loop_
_atom_site_label
_atom_site_type_symbol
_atom_site_fract_x
_atom_site_fract_y
_atom_site_fract_z
Cr1 Cr 0.000 0.000 0.000
Ni1 Ni 0.000 0.000 0.500
Mo1 Mo 0.246 0.250 0.125
# Calculated volume (Å³ per cell): 233.4
# Energy relative to the elements (eV per atom): 0.6624
# M_tot (μB/cell): 0.96
# Density of states at the Fermi level (states/eV/cell): 17.49
# Calculated density (g/cm3): 8.611
# Distance to the lowest polymorph of the same formula (meV/atom): 570

---

9.
# GGA-PBE CrNiMo2, relaxed
data_CrNiMo2
_chemical_formula_sum 'Cr1 Ni1 Mo2'
_cell_length_a 3.828
_cell_length_b 3.828
_cell_length_c 3.709
_cell_angle_alpha 90.00
_cell_angle_beta 90.00
_cell_angle_gamma 90.00
_space_group_name_H-M_alt 'P 4/m m m'
_space_group_IT_number 123
_space_group_name_Hall '-P 4 2'
loop_
_atom_site_label
_atom_site_type_symbol
_atom_site_fract_x
_atom_site_fract_y
_atom_site_fract_z
Cr1 Cr 0.000 0.000 0.000
Ni1 Ni 0.500 0.500 0.000
Mo1 Mo 0.000 0.500 0.500
# Calculated volume (Å³ per cell): 54.4
# Energy relative to the elements (eV per atom): 0.1349
# M_tot (μB/cell): 0.22
# Density of states at the Fermi level (states/eV/cell): 5.66
# Calculated density (g/cm3): 9.244
# Distance to the lowest polymorph of the same formula (meV/atom): 43

---

10.
# GGA-PBE CrNiMo2, relaxed
data_CrNiMo2
_chemical_formula_sum 'Cr1 Ni1 Mo2'
_cell_length_a 2.616
_cell_length_b 2.616
_cell_length_c 8.053
_cell_angle_alpha 90.00
_cell_angle_beta 90.00
_cell_angle_gamma 90.00
_space_group_name_H-M_alt 'P 4/m m m'
_space_group_IT_number 123
_space_group_name_Hall '-P 4 2'
loop_
_atom_site_label
_atom_site_type_symbol
_atom_site_fract_x
_atom_site_fract_y
_atom_site_fract_z
Cr1 Cr 0.000 0.000 0.000
Ni1 Ni 0.000 0.000 0.500
Mo1 Mo 0.500 0.500 0.259
# Calculated volume (Å³ per cell): 55.1
# Energy relative to the elements (eV per atom): 0.1804
# M_tot (μB/cell): 0.84
# Density of states at the Fermi level (states/eV/cell): 6.14
# Calculated density (g/cm3): 9.116
# Distance to the lowest polymorph of the same formula (meV/atom): 88

---

11.
# GGA-PBE CrNiMo2, relaxed
data_CrNiMo2
_chemical_formula_sum 'Cr1 Ni1 Mo2'
_cell_length_a 2.572
_cell_length_b 3.924
_cell_length_c 5.449
_cell_angle_alpha 90.00
_cell_angle_beta 90.00
_cell_angle_gamma 90.00
_space_group_name_H-M_alt 'P m m m'
_space_group_IT_number 47
loop_
_space_group_symop_operation_xyz
'x,y,z'
'-x,-y,-z'
'-x,-y,z'
'x,y,-z'
'x,-y,-z'
'-x,y,z'
'-x,y,-z'
'x,-y,z'
loop_
_atom_site_label
_atom_site_type_symbol
_atom_site_fract_x
_atom_site_fract_y
_atom_site_fract_z
Cr1 Cr 0.000 0.000 0.000
Ni1 Ni 0.000 0.000 0.500
Mo1 Mo 0.500 0.500 0.252
# Calculated volume (Å³ per cell): 55.0
# Energy relative to the elements (eV per atom): 0.2051
# M_tot (μB/cell): 0.00
# Density of states at the Fermi level (states/eV/cell): 3.94
# Calculated density (g/cm3): 9.137
# Distance to the lowest polymorph of the same formula (meV/atom): 113

---

12.
# GGA-PBE CrNi3Mo, relaxed
data_CrNi3Mo
_chemical_formula_sum 'Cr1 Ni3 Mo1'
_cell_length_a 4.164
_cell_length_b 4.164
_cell_length_c 4.164
_cell_angle_alpha 90.00
_cell_angle_beta 90.00
_cell_angle_gamma 90.00
_space_group_name_H-M_alt 'P m -3 m'
_space_group_IT_number 221
_space_group_name_Hall '-P 4 2 3'
loop_
_atom_site_label
_atom_site_type_symbol
_atom_site_fract_x
_atom_site_fract_y
_atom_site_fract_z
Cr1 Cr 0.000 0.000 0.000
Ni1 Ni 0.000 0.000 0.500
Mo1 Mo 0.500 0.500 0.500
# Calculated volume (Å³ per cell): 72.2
# Energy relative to the elements (eV per atom): 1.2576
# M_tot (μB/cell): 0.48
# Density of states at the Fermi level (states/eV/cell): 6.27
# Calculated density (g/cm3): 7.453
# Distance to the lowest polymorph of the same formula (meV/atom): 0